Entry 1:
# Tb3Pm4Ho

Crystalline Tb3Pm4Ho at its relaxed geometry (GGA-PBE, Alexandria via LeMat-Bulk).

Lattice parameters (Å, degrees): 11.5616 7.3200 6.3162 90.00 90.00 90.00
With the nearest neighbours (Å) after each atom.
Positions (direct):
Tb 0.0000 0.1229 0.0000  4 Tb 3.56-3.57, 6 Pm 3.58-3.69, 2 Ho 3.63
Tb 0.2500 0.1225 0.3327  2 Ho 3.56-3.57, 4 Tb 3.56-3.63, 6 Pm 3.58-3.69
Tb 0.2500 0.8775 0.8327  2 Ho 3.56-3.57, 4 Tb 3.56-3.63, 6 Pm 3.58-3.69
Tb 0.5000 0.8771 0.5000  4 Tb 3.56-3.57, 6 Pm 3.58-3.69, 2 Ho 3.63
Tb 0.7500 0.1225 0.3327  2 Ho 3.56-3.57, 4 Tb 3.56-3.63, 6 Pm 3.58-3.69
Tb 0.7500 0.8775 0.8327  2 Ho 3.56-3.57, 4 Tb 3.56-3.63, 6 Pm 3.58-3.69
Pm 0.0000 0.3734 0.5002  6 Pm 3.58-3.67, 4 Tb 3.58-3.65, 2 Ho 3.63-3.69
Pm 0.0000 0.6269 0.9989  6 Pm 3.57-3.67, 4 Tb 3.58-3.69, 2 Ho 3.65-3.66
Pm 0.2493 0.6272 0.3335  6 Pm 3.57-3.67, 1 Ho 3.57, 5 Tb 3.58-3.69
Pm 0.2507 0.3728 0.8334  6 Pm 3.57-3.67, 1 Ho 3.57, 5 Tb 3.58-3.69
Pm 0.5000 0.3731 0.4989  6 Pm 3.57-3.67, 4 Tb 3.58-3.69, 2 Ho 3.65-3.66
Pm 0.5000 0.6266 0.0002  6 Pm 3.58-3.67, 4 Tb 3.58-3.65, 2 Ho 3.63-3.69
Pm 0.7493 0.3728 0.8334  6 Pm 3.57-3.67, 1 Ho 3.57, 5 Tb 3.58-3.69
Pm 0.7507 0.6272 0.3335  6 Pm 3.57-3.67, 1 Ho 3.57, 5 Tb 3.58-3.69
Ho 0.0000 0.8777 0.4999  6 Tb 3.56-3.63, 6 Pm 3.57-3.69
Ho 0.5000 0.1223 0.9999  6 Tb 3.56-3.63, 6 Pm 3.57-3.69

Computed properties:
The energy relative to the lowest polymorph listed for this composition is 0 meV/atom. Its total magnetic moment is 0.0 μB/f.u. The calculation puts the total energy at -74.5 eV per cell. The value obtained for the energy of formation is 0.025 eV/atom.

***

Entry 2:
# Tb8Pm3Ho

Crystalline Tb8Pm3Ho at its relaxed geometry (GGA-PBE, Alexandria via LeMat-Bulk).

Lattice parameters (Å, degrees): 8.6836 8.6836 8.6836 136.11 98.78 97.28
With the nearest neighbours (Å) after each atom.
Positions (direct):
Tb 0.0821 0.2494 0.8327  7 Tb 3.41-3.78, 1 Ho 3.43, 4 Pm 3.44-3.76
Tb 0.2448 0.2527 0.4975  6 Tb 3.21-3.44, 1 Ho 3.22, 1 Pm 3.30
Tb 0.2448 0.7473 0.9922  6 Tb 3.21-3.44, 1 Ho 3.22, 1 Pm 3.30
Tb 0.4167 0.2494 0.1673  7 Tb 3.41-3.78, 1 Ho 3.43, 4 Pm 3.44-3.76
Tb 0.5833 0.7506 0.8327  7 Tb 3.41-3.78, 1 Ho 3.43, 4 Pm 3.44-3.76
Tb 0.7552 0.2527 0.0078  6 Tb 3.21-3.44, 1 Ho 3.22, 1 Pm 3.30
Tb 0.7552 0.7473 0.5025  6 Tb 3.21-3.44, 1 Ho 3.22, 1 Pm 3.30
Tb 0.9179 0.7506 0.1673  7 Tb 3.41-3.78, 1 Ho 3.43, 4 Pm 3.44-3.76
Pm 0.2464 0.7464 0.5000  6 Tb 3.76
Pm 0.5000 0.5000 0.0000  8 Tb 3.30-3.44
Pm 0.7536 0.2536 0.5000  6 Tb 3.76
Ho 0.0000 0.0000 0.0000  8 Tb 3.22-3.43

Computed properties:
Its total magnetic moment is 0.0 μB/f.u. The calculation puts the total energy at -52.3 eV per cell. The value obtained for the energy of formation is 0.300 eV/atom.

***

Number 2 is which compound?
Tb8Pm3Ho